Al2ZnSi: relaxed, PBEsol.

a b c (Å): 2.822 4.625 4.969
angles (deg): 100.26 106.50 90.00
Atoms (fractional coordinates):
Zn1 0.249 0.767 0.498
Si1 0.500 0.483 0.000
Al1 0.999 0.981 0.998
Al2 0.752 0.269 0.505

Results
As for the calculated total energy: -3.77 eV/atom.

=====

Zr4Al2Si: relaxed, PBEsol.

a b c (Å): 2.994 2.994 17.932
angles (deg): 90.00 90.00 120.00
Atoms (fractional coordinates):
Al1 0.333 0.667 0.909
Al2 0.667 0.333 0.615
Si1 0.000 0.000 0.329
Zr1 0.000 0.000 0.045
Zr2 0.000 0.000 0.478
Zr3 0.333 0.667 0.751
Zr4 0.333 0.667 0.204

Results
As for the calculated total energy: -7.19 eV/atom. The calculation puts the excess energy over the best structure of this formula in the dataset at 0.000 eV/atom.

=====

ZrAl2Si: relaxed, PBEsol.

a b c (Å): 5.159 5.550 9.264
angles (deg): 90.00 90.00 90.00
Atoms (fractional coordinates):
Si1 0.147 0.571 0.115
Si2 0.853 0.071 0.885
Si3 0.647 0.571 0.385
Si4 0.353 0.071 0.615
Al1 0.848 0.821 0.637
Al2 0.152 0.321 0.363
Al3 0.348 0.821 0.863
Al4 0.652 0.321 0.137
Al5 0.142 0.074 0.113
Al6 0.858 0.574 0.887
Al7 0.642 0.074 0.387
Al8 0.358 0.574 0.613
Zr1 0.635 0.819 0.123
Zr2 0.365 0.319 0.877
Zr3 0.135 0.819 0.377
Zr4 0.865 0.319 0.623

Results
As for the calculated total energy: -6.20 eV/atom.

=====

no.,formation energy without anion corrections (meV per atom)
1,108.8
2,-3.4
3,-447.1